[1]
Material: PrNd5As6
Method: DFT, PBE
State: optimized geometry

Results
mass density = 6.6 g cm⁻³
formation energy from the elements = -1511 meV per atom
E = -6.2210 eV per atom

Geometry as CIF:
```
data_PrNd5As6
_chemical_formula_sum 'Pr2 Nd10 As12'
_symmetry_space_group_name_H-M 'C 1 2/m 1'
_symmetry_Int_Tables_number 12
_symmetry_space_group_name_Hall '-C 2y'
_cell_length_a 7.4131
_cell_length_b 12.8368
_cell_length_c 7.4121
_cell_angle_alpha 90.00
_cell_angle_beta 109.48
_cell_angle_gamma 90.00
loop_
_atom_site_label
_atom_site_type_symbol
_atom_site_fract_x
_atom_site_fract_y
_atom_site_fract_z
_atom_site_occupancy
Pr1 Pr 0.0000 0.0000 0.0000 1
Nd1 Nd 0.0000 0.1665 0.5000 1
Nd2 Nd 0.0000 0.3333 0.0000 1
Nd3 Nd 0.0000 0.5000 0.5000 1
As1 As 0.2492 0.3328 0.7492 1
As2 As 0.2491 0.5000 0.2506 1
```

[2]
Material: PrNdAs
Method: DFT, PBE
State: optimized geometry

Results
mass density = 7.3 g cm⁻³
formation energy from the elements = -700 meV per atom
E = -5.4322 eV per atom

Geometry as CIF:
```
data_PrNdAs
_chemical_formula_sum 'Pr2 Nd2 As2'
_symmetry_space_group_name_H-M 'I 4 m m'
_symmetry_Int_Tables_number 107
_symmetry_space_group_name_Hall 'I 4 -2'
_cell_length_a 3.9775
_cell_length_b 3.9775
_cell_length_c 10.3538
_cell_angle_alpha 90.00
_cell_angle_beta 90.00
_cell_angle_gamma 90.00
loop_
_atom_site_label
_atom_site_type_symbol
_atom_site_fract_x
_atom_site_fract_y
_atom_site_fract_z
_atom_site_occupancy
Pr1 Pr 0.0000 0.0000 0.0000 1
Nd1 Nd 0.0000 0.0000 0.2936 1
As1 As 0.0000 0.0000 0.6510 1
```

[3]
Material: PrNdAs
Method: DFT, PBE
State: optimized geometry

Results
mass density = 6.7 g cm⁻³
formation energy from the elements = -839 meV per atom
E = -5.5714 eV per atom

Geometry as CIF:
```
data_PrNdAs
_chemical_formula_sum 'Pr4 Nd4 As4'
_symmetry_space_group_name_H-M 'F -4 3 m'
_symmetry_Int_Tables_number 216
_symmetry_space_group_name_Hall 'F -4 2 3'
_cell_length_a 7.0979
_cell_length_b 7.0979
_cell_length_c 7.0979
_cell_angle_alpha 90.00
_cell_angle_beta 90.00
_cell_angle_gamma 90.00
loop_
_atom_site_label
_atom_site_type_symbol
_atom_site_fract_x
_atom_site_fract_y
_atom_site_fract_z
_atom_site_occupancy
Pr1 Pr 0.0000 0.0000 0.0000 1
Nd1 Nd 0.0000 0.0000 0.5000 1
As1 As 0.2500 0.2500 0.7500 1
```

[4]
Material: PrNdAs2
Method: DFT, PBE
State: optimized geometry

Results
mass density = 6.5 g cm⁻³
formation energy from the elements = -1507 meV per atom
energy relative to the lowest polymorph listed for this composition = 0.002 eV/atom
E = -6.2183 eV per atom

Geometry as CIF:
```
data_PrNdAs2
_chemical_formula_sum 'Pr3 Nd3 As6'
_symmetry_space_group_name_H-M 'R -3 m'
_symmetry_Int_Tables_number 166
_symmetry_space_group_name_Hall '-R 3 2"'
_cell_length_a 4.2934
_cell_length_b 4.2934
_cell_length_c 21.0000
_cell_angle_alpha 90.00
_cell_angle_beta 90.00
_cell_angle_gamma 120.00
loop_
_atom_site_label
_atom_site_type_symbol
_atom_site_fract_x
_atom_site_fract_y
_atom_site_fract_z
_atom_site_occupancy
Pr1 Pr 0.0000 0.0000 0.0000 1
Nd1 Nd 0.0000 0.0000 0.5000 1
As1 As 0.0000 0.0000 0.2493 1
```

[5]
Material: PrNdAs
Method: DFT, PBE
State: optimized geometry

Results
mass density = 6.0 g cm⁻³
formation energy from the elements = -850 meV per atom
E = -5.5825 eV per atom

Geometry as CIF:
```
data_PrNdAs
_chemical_formula_sum 'Pr1 Nd1 As1'
_symmetry_space_group_name_H-M 'P 3 m 1'
_symmetry_Int_Tables_number 156
_symmetry_space_group_name_Hall 'P 3 -2"'
_cell_length_a 4.1278
_cell_length_b 4.1278
_cell_length_c 6.7825
_cell_angle_alpha 90.00
_cell_angle_beta 90.00
_cell_angle_gamma 120.00
loop_
_atom_site_label
_atom_site_type_symbol
_atom_site_fract_x
_atom_site_fract_y
_atom_site_fract_z
_atom_site_occupancy
Pr1 Pr 0.0000 0.0000 0.0000 1
Nd1 Nd 0.6667 0.3333 0.5136 1
As1 As 0.3333 0.6667 0.2598 1
```

[6]
Material: PrNd2As
Method: DFT, PBE
State: optimized geometry

Results
mass density = 6.2 g cm⁻³
formation energy from the elements = -608 meV per atom
energy relative to the lowest polymorph listed for this composition = 0.009 eV/atom
E = -5.3497 eV per atom

Geometry as CIF:
```
data_PrNd2As
_chemical_formula_sum 'Pr3 Nd6 As3'
_symmetry_space_group_name_H-M 'R -3 m'
_symmetry_Int_Tables_number 166
_symmetry_space_group_name_Hall '-R 3 2"'
_cell_length_a 4.0025
_cell_length_b 4.0025
_cell_length_c 29.0386
_cell_angle_alpha 90.00
_cell_angle_beta 90.00
_cell_angle_gamma 120.00
loop_
_atom_site_label
_atom_site_type_symbol
_atom_site_fract_x
_atom_site_fract_y
_atom_site_fract_z
_atom_site_occupancy
Pr1 Pr 0.0000 0.0000 0.0000 1
Nd1 Nd 0.0000 0.0000 0.2282 1
As1 As 0.0000 0.0000 0.5000 1
```

[7]
Material: PrNdAs2
Method: DFT, PBE
State: optimized geometry

Results
mass density = 6.5 g cm⁻³
formation energy from the elements = -1509 meV per atom
energy relative to the lowest polymorph listed for this composition = 0.000 eV/atom
E = -6.2204 eV per atom

Geometry as CIF:
```
data_PrNdAs2
_chemical_formula_sum 'Pr4 Nd4 As8'
_symmetry_space_group_name_H-M 'I 41/a m d'
_symmetry_Int_Tables_number 141
_cell_length_a 6.0640
_cell_length_b 6.0640
_cell_length_c 12.1430
_cell_angle_alpha 90.00
_cell_angle_beta 90.00
_cell_angle_gamma 90.00
loop_
_symmetry_equiv_pos_as_xyz
'x,y,z'
'-x,-y,-z'
'-y+1/4,x+3/4,z+1/4'
'y+1/4,-x+3/4,-z+1/4'
'-x+1/2,-y,z+1/2'
'x+1/2,y,-z+1/2'
'y+1/4,-x+1/4,z+3/4'
'-y+1/4,x+1/4,-z+3/4'
'x,-y,-z'
'-x,y,z'
'-y+1/4,-x+1/4,-z+3/4'
'y+1/4,x+1/4,z+3/4'
'-x+1/2,y,-z+1/2'
'x+1/2,-y,z+1/2'
'y+1/4,x+3/4,-z+1/4'
'-y+1/4,-x+3/4,z+1/4'
'x+1/2,y+1/2,z+1/2'
'-x+1/2,-y+1/2,-z+1/2'
'-y+3/4,x+1/4,z+3/4'
'y+3/4,-x+1/4,-z+3/4'
'-x,-y+1/2,z'
'x,y+1/2,-z'
'y+3/4,-x+3/4,z+1/4'
'-y+3/4,x+3/4,-z+1/4'
'x+1/2,-y+1/2,-z+1/2'
'-x+1/2,y+1/2,z+1/2'
'-y+3/4,-x+3/4,-z+1/4'
'y+3/4,x+3/4,z+1/4'
'-x,y+1/2,-z'
'x,-y+1/2,z'
'y+3/4,x+1/4,-z+3/4'
'-y+3/4,-x+1/4,z+3/4'
loop_
_atom_site_label
_atom_site_type_symbol
_atom_site_fract_x
_atom_site_fract_y
_atom_site_fract_z
_atom_site_occupancy
Pr1 Pr 0.0000 0.2500 0.3750 1
Nd1 Nd 0.0000 0.2500 0.8750 1
As1 As 0.0000 0.2500 0.1242 1
```

[8]
Material: PrNd2As
Method: DFT, PBE
State: optimized geometry

Results
mass density = 6.2 g cm⁻³
formation energy from the elements = -618 meV per atom
energy relative to the lowest polymorph listed for this composition = 0.000 eV/atom
E = -5.3589 eV per atom

Geometry as CIF:
```
data_PrNd2As
_chemical_formula_sum 'Pr3 Nd6 As3'
_symmetry_space_group_name_H-M 'R 3 m'
_symmetry_Int_Tables_number 160
_symmetry_space_group_name_Hall 'R 3 -2"'
_cell_length_a 4.0199
_cell_length_b 4.0199
_cell_length_c 28.7936
_cell_angle_alpha 90.00
_cell_angle_beta 90.00
_cell_angle_gamma 120.00
loop_
_atom_site_label
_atom_site_type_symbol
_atom_site_fract_x
_atom_site_fract_y
_atom_site_fract_z
_atom_site_occupancy
Pr1 Pr 0.0000 0.0000 0.0000 1
Nd1 Nd 0.0000 0.0000 0.5617 1
Nd2 Nd 0.0000 0.0000 0.7715 1
As1 As 0.0000 0.0000 0.1664 1
```